Density functional theory data (PBE) for a relaxed SrLi3Cu crystal.

Calculated values
**Mass density**: 2.37 g/cm3
**Final energy**: -2.292 eV per atom
**Total moment**: 0.0 μB/cell

Lattice parameters (Å, degrees): 7.4885 4.3171 7.7291 90.00 105.07 90.00
With the nearest neighbours (Å) after each atom.
Space group Pm (No. 6)
Inequivalent atoms, fractional coordinates:
Sr 0.0000 0.0000 0.0000 x1  2 Cu 3.20, 6 Li 3.41-3.53
Sr 0.3980 0.5000 0.3711 x1  2 Cu 3.20, 6 Li 3.41-3.53
Li 0.0840 0.0000 0.5478 x1  1 Cu 2.61
Li 0.3137 0.5000 0.8227 x1  1 Cu 2.61
Li 0.5589 0.0000 0.0836 x1  3 Cu 2.72-2.73, 1 Li 2.84
Li 0.5663 0.0000 0.7182 x1  3 Cu 2.69, 1 Li 2.84
Li 0.8325 0.5000 0.6520 x1  3 Cu 2.70, 1 Li 2.84
Li 0.8381 0.5000 0.2861 x1  3 Cu 2.72, 1 Li 2.84
Cu 0.6737 0.5000 0.9275 x1  7 Li 2.61-2.72
Cu 0.7241 0.0000 0.4422 x1  7 Li 2.61-2.73

---

Density functional theory data (PBE) for a relaxed Sr2LiCu crystal.

Calculated values
**Mass density**: 3.28 g/cm3
**Final energy**: -2.279 eV per atom
**Total moment**: 0.0 μB/cell

Lattice parameters (Å, degrees): 7.8431 7.8519 4.0382 90.00 90.32 90.00
With the nearest neighbours (Å) after each atom.
Space group C2/m (No. 12)
Inequivalent atoms, fractional coordinates:
Sr 0.2500 0.2500 0.0000 x4  4 Li 3.43-3.44, 4 Cu 3.43-3.44
Li 0.0000 0.0000 0.5000 x2  8 Sr 3.43-3.44
Cu 0.0000 0.5000 0.5000 x2  8 Sr 3.43-3.44

---

Density functional theory data (PBE) for a relaxed SrLi2Cu crystal.

Calculated values
**Mass density**: 2.96 g/cm3
**Final energy**: -2.247 eV per atom
**Total moment**: 0.0 μB/cell

Lattice parameters (Å, degrees): 3.7096 3.7096 6.7179 90.00 90.00 90.00
With the nearest neighbours (Å) after each atom.
Space group P4/mmm (No. 123)
Inequivalent atoms, fractional coordinates:
Sr 0.0000 0.0000 0.0000 x1  2 Cu 3.36, 8 Li 3.42, 4 Sr 3.71
Li 0.5000 0.5000 0.3266 x2  1 Li 2.33
Cu 0.0000 0.0000 0.5000 x1  8 Li 2.87

---

Density functional theory data (PBE) for a relaxed SrLi2Cu crystal.

Calculated values
**Mass density**: 2.74 g/cm3
**Final energy**: -2.278 eV per atom
**Total moment**: 0.0 μB/cell

Lattice parameters (Å, degrees): 4.3259 4.3535 5.3050 90.00 90.00 90.00
With the nearest neighbours (Å) after each atom.
Space group Pmmm (No. 47)
Inequivalent atoms, fractional coordinates:
Sr 0.0000 0.0000 0.0000 x1  4 Cu 3.07, 8 Li 3.42-3.43
Li 0.0000 0.5000 0.5000 x1  4 Li 3.07, 4 Cu 3.42, 4 Sr 3.43
Li 0.5000 0.0000 0.5000 x1  4 Li 3.07, 4 Sr 3.42, 4 Cu 3.43
Cu 0.5000 0.5000 0.0000 x1  4 Sr 3.07, 8 Li 3.42-3.43

---

Density functional theory data (PBE) for a relaxed Sr2Li2Cu15 crystal.

Calculated values
**Mass density**: 6.74 g/cm3
**Final energy**: -3.685 eV per atom
**Total moment**: 0.0 μB/cell

Lattice parameters (Å, degrees): 8.7712 8.7712 12.6728 90.00 90.00 120.00
With the nearest neighbours (Å) after each atom.
Space group R-3m (No. 166, hexagonal axes)
Inequivalent atoms, fractional coordinates:
Sr 0.0000 0.0000 0.1571 x6  18 Cu 3.11-3.38, 1 Li 3.17
Li 0.0000 0.0000 0.4072 x6  1 Li 2.35
Cu 0.0000 0.2940 0.5000 x18  8 Cu 2.49-2.70
Cu 0.0000 0.5000 0.0000 x9  8 Cu 2.49-2.52, 2 Li 2.70
Cu 0.0037 0.5018 0.3412 x18  8 Cu 2.52-2.70, 1 Li 2.71

---

Density functional theory data (PBE) for a relaxed SrLi6Cu2 crystal.

Calculated values
**Mass density**: 2.33 g/cm3
**Final energy**: -2.385 eV per atom
**Total moment**: 0.0 μB/cell

Lattice parameters (Å, degrees): 4.2802 4.2802 9.9642 90.00 90.00 90.00
With the nearest neighbours (Å) after each atom.
Space group P4/mmm (No. 123)
Inequivalent atoms, fractional coordinates:
Sr 0.0000 0.0000 0.0000 x1  8 Cu 3.27, 8 Li 3.59
Li 0.0000 0.0000 0.5000 x1  12 Li 3.00-3.03
Li 0.0000 0.5000 0.2889 x4  2 Cu 2.70, 4 Li 3.00
Li 0.5000 0.5000 0.5000 x1  12 Li 3.00-3.03
Cu 0.5000 0.5000 0.1243 x2  1 Cu 2.48, 4 Li 2.70